1.
Density functional theory data (PBE-GGA) for a relaxed Sr2CrSe2 crystal.

Structure (extended XYZ):
```
5
Lattice="-3.270 3.318 -2.440 0.696 -2.625 -4.503 -3.944 -3.035 1.160" Properties=species:S:1:pos:R:3 pbc="T T T"
Sr -3.259 -1.171 -2.892
Sr -1.972 -1.517 0.580
Se 0.348 -1.313 -2.252
Se -1.635 1.659 -1.220
Cr 0.000 0.000 0.000
```

Output
Formation energy from raw total energies ... -0.31 eV per atom
Symmetry ... P4/mmm, No. 123

***

2.
Density functional theory data (PBE-GGA) for a relaxed PmPrSbAu crystal.

Structure (extended XYZ):
```
4
Lattice="-0.850 5.117 -1.400 -1.067 1.244 -5.117 -4.928 1.619 -1.399" Properties=species:S:1:pos:R:3 pbc="T T T"
Pr -5.134 5.985 -5.937
Sb 0.000 0.000 0.000
Au -3.423 3.990 -3.958
Pm -1.711 1.995 -1.979
```

Output
Formation energy from raw total energies ... -0.81 eV per atom
Symmetry ... F-43m, No. 216

***

3.
Density functional theory data (PBE-GGA) for a relaxed Zr2NiN crystal.

Structure (extended XYZ):
```
4
Lattice="3.161 0.000 0.000 1.580 2.737 0.000 1.580 0.912 7.605" Properties=species:S:1:pos:R:3 pbc="T T T"
Ni 0.000 0.000 0.000
Zr 1.580 0.912 5.114
Zr 4.741 2.737 2.491
N 3.161 1.825 3.802
```

Output
Formation energy from raw total energies ... -0.42 eV per atom
Symmetry ... R-3m, No. 166

***

4.
Density functional theory data (PBE-GGA) for a relaxed Dy3Tl3Ag2 crystal.

Structure (extended XYZ):
```
8
Lattice="3.775 0.000 0.000 0.000 6.843 -3.951 0.000 0.000 7.901" Properties=species:S:1:pos:R:3 pbc="T T T"
Dy 1.887 2.721 1.571
Dy 1.887 4.121 -2.380
Dy 1.887 0.000 4.759
Tl 0.000 5.168 2.984
Tl 0.000 1.675 -0.967
Tl 0.000 0.000 1.934
Ag 0.000 2.281 3.951
Ag 0.000 4.562 0.000
```

Output
Symmetry ... P-62m, No. 189
Formation energy from the elements ... -0.288 eV per atom

***

5.
Density functional theory data (PBE-GGA) for a relaxed Ba4CuRh3 crystal.

Structure (extended XYZ):
```
8
Lattice="-1.282 -2.441 -3.930 4.456 -0.267 -1.288 1.059 -9.689 5.672" Properties=species:S:1:pos:R:3 pbc="T T T"
Rh 2.802 -5.383 2.430
Rh 0.488 -4.464 2.614
Rh 0.375 -10.517 3.477
Ba 1.969 -4.844 -0.565
Ba 3.130 -8.380 4.184
Ba 0.147 -1.346 0.788
Ba 0.042 -7.469 1.693
Cu 1.633 -1.768 -2.366
```

Output
Symmetry ... Pmm2, No. 25
Formation energy from the elements ... -0.142 eV per atom

***

6.
Density functional theory data (PBE-GGA) for a relaxed CeTh6In crystal.

Structure (extended XYZ):
```
8
Lattice="-2.995 -3.875 0.593 3.917 -2.986 0.274 0.296 1.317 10.104" Properties=species:S:1:pos:R:3 pbc="T T T"
Ce 0.148 0.658 5.052
Th 0.461 -3.430 0.433
Th 0.609 -2.772 5.486
Th -1.424 -1.612 2.793
Th -1.275 -0.946 7.904
Th 2.032 -1.168 2.634
Th 2.181 -0.502 7.745
In 0.000 0.000 0.000
```

Output
Symmetry ... P4/mmm, No. 123
Formation energy from the elements ... -0.022 eV per atom

***

7.
Density functional theory data (PBE-GGA) for a relaxed TcWIN2 crystal.

Structure (extended XYZ):
```
5
Lattice="-2.071 2.417 -2.294 -3.208 -0.715 2.143 1.312 4.372 3.421" Properties=species:S:1:pos:R:3 pbc="T T T"
I 0.656 2.186 1.711
Tc 0.000 0.000 0.000
W -1.984 3.037 1.635
N -1.604 -0.357 1.072
N -1.036 1.208 -1.147
```

Output
Formation energy from raw total energies ... 1.65 eV per atom
Symmetry ... P4/mmm, No. 123

***

8.
Density functional theory data (PBE-GGA) for a relaxed KBaRu crystal.

Structure (extended XYZ):
```
3
Lattice="8.380 0.114 -0.117 7.522 3.699 -0.059 0.858 0.151 3.582" Properties=species:S:1:pos:R:3 pbc="T T T"
Ba 1.615 0.335 3.393
K 5.259 1.222 2.483
Ru 10.744 2.558 1.113
```

Output
Symmetry ... I4mm, No. 107
Formation energy from the elements ... 0.839 eV per atom

***

Copy entry 8 word for word.
Density functional theory data (PBE-GGA) for a relaxed KBaRu crystal.

Structure (extended XYZ):
```
3
Lattice="8.380 0.114 -0.117 7.522 3.699 -0.059 0.858 0.151 3.582" Properties=species:S:1:pos:R:3 pbc="T T T"
Ba 1.615 0.335 3.393
K 5.259 1.222 2.483
Ru 10.744 2.558 1.113
```

Output
Symmetry ... I4mm, No. 107
Formation energy from the elements ... 0.839 eV per atom

***

Copy entry 3 word for word.
Density functional theory data (PBE-GGA) for a relaxed Zr2NiN crystal.

Structure (extended XYZ):
```
4
Lattice="3.161 0.000 0.000 1.580 2.737 0.000 1.580 0.912 7.605" Properties=species:S:1:pos:R:3 pbc="T T T"
Ni 0.000 0.000 0.000
Zr 1.580 0.912 5.114
Zr 4.741 2.737 2.491
N 3.161 1.825 3.802
```

Output
Formation energy from raw total energies ... -0.42 eV per atom
Symmetry ... R-3m, No. 166